No. 1
First-principles (PBE) data for a relaxed LiNdLu crystal, as listed in OQMD.

The structure in POSCAR format:
```
LiNdLu
1.0
4.0637 0.1337 2.9674
-0.4682 -0.8049 4.9467
1.7697 -4.2492 2.0371
Nd Li Lu
1 1 1
direct
0.0000 0.0000 0.0000 Nd
0.5000 0.5000 0.5000 Li
0.2500 0.2500 0.2500 Lu
```

Computed properties:
magnetic moment	0.01	μB per formula unit
symmetry	F-43m, No. 216
VASP energy	-8.90	eV/cell
density	6.0	g/cm³

=====

No. 2
First-principles (PBE) data for a relaxed LiLu2Ni crystal, as listed in OQMD.

The structure in POSCAR format:
```
LiLu2Ni
1.0
2.6477 -1.4933 3.6236
-0.8582 1.5924 4.3701
-1.8546 -2.8933 3.2495
Lu Li Ni
2 1 1
direct
0.7500 0.7500 0.7500 Lu
0.0000 0.0000 0.0000 Lu
0.5000 0.5000 0.5000 Li
0.2500 0.2500 0.2500 Ni
```

Computed properties:
magnetic moment	0.00	μB per formula unit
symmetry	F-43m, No. 216
VASP energy	-15.90	eV/cell
density	9.2	g/cm³

=====

No. 3
First-principles (PBE) data for a relaxed LiLuNi2 crystal, as listed in OQMD.

The structure in POSCAR format:
```
LiLuNi2
1.0
-2.4417 2.6218 2.4103
-2.1696 3.2402 -1.8546
-4.3040 -0.1765 -0.3002
Li Ni Lu
1 2 1
direct
0.5000 0.5000 0.5000 Li
0.0000 0.0000 0.0000 Ni
0.7500 0.7500 0.7500 Ni
0.2500 0.2500 0.2500 Lu
```

Computed properties:
magnetic moment	0.00	μB per formula unit
symmetry	F-43m, No. 216
VASP energy	-18.18	eV/cell
density	8.7	g/cm³

=====

No. 4
First-principles (PBE) data for a relaxed Li2LuNi crystal, as listed in OQMD.

The structure in POSCAR format:
```
Li2LuNi
1.0
0.0000 3.2074 3.2074
3.2074 0.0000 3.2074
3.2074 3.2074 0.0000
Ni Li Lu
1 2 1
direct
0.5000 0.5000 0.5000 Ni
0.7500 0.7500 0.7500 Li
0.0000 0.0000 0.0000 Li
0.2500 0.2500 0.2500 Lu
```

Computed properties:
magnetic moment	0.00	μB per formula unit
ΔE to the lowest computed polymorph	0.07	kcal/mol of atoms
symmetry	F-43m, No. 216
VASP energy	-14.02	eV/cell
density	6.2	g/cm³

=====

No. 5
First-principles (PBE) data for a relaxed Li2LuNi crystal, as listed in OQMD.

The structure in POSCAR format:
```
Li2LuNi
1.0
1.5209 -0.3842 4.2818
-2.2859 1.9727 3.4172
-2.2729 -2.5687 3.0050
Lu Li Ni
1 2 1
direct
0.5000 0.5000 0.5000 Lu
0.7500 0.7500 0.7500 Li
0.0000 0.0000 0.0000 Li
0.2500 0.2500 0.2500 Ni
```

Computed properties:
magnetic moment	0.00	μB per formula unit
ΔE to the lowest computed polymorph	0.00	kcal/mol of atoms
symmetry	F-43m, No. 216
VASP energy	-14.03	eV/cell
density	6.1	g/cm³

=====

No. 6
First-principles (PBE) data for a relaxed LiLuNiPb crystal, as listed in OQMD.

The structure in POSCAR format:
```
LiLuNiPb
1.0
0.0000 3.2782 3.2782
3.2782 0.0000 3.2782
3.2782 3.2782 0.0000
Pb Li Lu Ni
1 1 1 1
direct
0.0000 0.0000 0.0000 Pb
0.2500 0.2500 0.2500 Li
0.5000 0.5000 0.5000 Lu
0.7500 0.7500 0.7500 Ni
```

Computed properties:
magnetic moment	0.00	μB per formula unit
ΔE to the lowest computed polymorph	0.00	kcal/mol of atoms
symmetry	F-43m, No. 216
VASP energy	-17.26	eV/cell
density	10.6	g/cm³

=====

No. 7
First-principles (PBE) data for a relaxed LiLuNiPb crystal, as listed in OQMD.

The structure in POSCAR format:
```
LiLuNiPb
1.0
-1.2448 -3.6393 -2.8605
-4.0930 0.1980 -2.4870
0.1123 0.5468 -4.7608
Pb Li Lu Ni
1 1 1 1
direct
0.0000 0.0000 0.0000 Pb
0.7500 0.7500 0.7500 Li
0.2500 0.2500 0.2500 Lu
0.5000 0.5000 0.5000 Ni
```

Computed properties:
magnetic moment	0.01	μB per formula unit
ΔE to the lowest computed polymorph	5.19	kcal/mol of atoms
symmetry	F-43m, No. 216
VASP energy	-16.36	eV/cell
density	9.5	g/cm³

=====

No. 8
First-principles (PBE) data for a relaxed LiLuNiPb crystal, as listed in OQMD.

The structure in POSCAR format:
```
LiLuNiPb
1.0
4.2823 -1.3728 1.4638
1.8515 1.8364 3.9453
0.4290 -2.6733 3.8776
Li Lu Ni Pb
1 1 1 1
direct
0.7500 0.7500 0.7500 Li
0.0000 0.0000 0.0000 Lu
0.5000 0.5000 0.5000 Ni
0.2500 0.2500 0.2500 Pb
```

Computed properties:
magnetic moment	0.00	μB per formula unit
ΔE to the lowest computed polymorph	6.41	kcal/mol of atoms
symmetry	F-43m, No. 216
VASP energy	-16.15	eV/cell
density	9.9	g/cm³

=====

No. 9
First-principles (PBE) data for a relaxed Li2LuScNi2Sn2 crystal, as listed in OQMD.

The structure in POSCAR format:
```
Li2LuScNi2Sn2
1.0
4.5119 0.0000 0.0000
0.0000 4.5119 0.0000
0.0000 0.0000 6.3821
Sc Ni Sn Li Lu
1 2 2 2 1
direct
0.0000 0.0000 0.0000 Sc
0.5000 0.0000 0.7566 Ni
0.0000 0.5000 0.2434 Ni
0.5000 0.5000 0.0000 Sn
0.0000 0.0000 0.5000 Sn
0.0000 0.5000 0.7577 Li
0.5000 0.0000 0.2423 Li
0.5000 0.5000 0.5000 Lu
```

Computed properties:
magnetic moment	0.00	μB per formula unit
symmetry	P-4m2, No. 115
VASP energy	-38.57	eV/cell
density	7.5	g/cm³

=====

No. 10
First-principles (PBE) data for a relaxed LiLuNiSe3 crystal, as listed in OQMD.

The structure in POSCAR format:
```
LiLuNiSe3
1.0
13.1173 0.0000 0.0000
0.0000 3.8477 0.0000
0.0000 0.0000 10.7259
Se Lu Ni Li
12 4 4 4
direct
0.4044 0.7500 0.3939 Se
0.0956 0.2500 0.8939 Se
0.8803 0.2500 0.4345 Se
0.3576 0.7500 0.7406 Se
0.1197 0.7500 0.5655 Se
0.3803 0.2500 0.0655 Se
0.6424 0.2500 0.2594 Se
0.1424 0.2500 0.2406 Se
0.6197 0.7500 0.9345 Se
0.5956 0.2500 0.6061 Se
0.8576 0.7500 0.7594 Se
0.9044 0.7500 0.1061 Se
0.4852 0.2500 0.8390 Lu
0.0148 0.7500 0.3390 Lu
0.5148 0.7500 0.1610 Lu
0.9852 0.2500 0.6610 Lu
0.4920 0.7500 0.5868 Ni
0.0080 0.2500 0.0868 Ni
0.9920 0.7500 0.9132 Ni
0.5080 0.2500 0.4132 Ni
0.7586 0.2500 0.8840 Li
0.2586 0.2500 0.6160 Li
0.2414 0.7500 0.1160 Li
0.7414 0.7500 0.3840 Li
```

Computed properties:
magnetic moment	1.20	μB per formula unit
ΔE to the lowest computed polymorph	0.29	kcal/mol of atoms
symmetry	Pnma, No. 62
VASP energy	-116.39	eV/cell
density	5.9	g/cm³

=====

No. 11
First-principles (PBE) data for a relaxed LiLuNiSe3 crystal, as listed in OQMD.

The structure in POSCAR format:
```
LiLuNiSe3
1.0
1.8949 -6.5274 0.0000
1.8949 6.5274 0.0000
0.0000 0.0000 10.1702
Se Ni Lu Li
6 2 2 2
direct
0.6418 0.3582 0.0831 Se
0.3582 0.6418 0.9169 Se
0.3582 0.6418 0.5831 Se
0.9039 0.0961 0.2500 Se
0.6418 0.3582 0.4169 Se
0.0961 0.9039 0.7500 Se
0.5140 0.4860 0.2500 Ni
0.4860 0.5140 0.7500 Ni
0.0000 0.0000 0.5000 Lu
0.0000 0.0000 0.0000 Lu
0.7793 0.2207 0.7500 Li
0.2207 0.7793 0.2500 Li
```

Computed properties:
magnetic moment	0.02	μB per formula unit
ΔE to the lowest computed polymorph	1.10	kcal/mol of atoms
symmetry	Cmcm, No. 63
VASP energy	-57.77	eV/cell
density	6.3	g/cm³

=====

No. 12
First-principles (PBE) data for a relaxed LiLuNiSe3 crystal, as listed in OQMD.

The structure in POSCAR format:
```
LiLuNiSe3
1.0
-1.9449 7.5266 0.1174
-2.4363 -0.5837 -2.9417
-6.0601 -3.8527 5.7834
Se Ni Li Lu
6 2 2 2
direct
0.0804 0.2500 0.3396 Se
0.4314 0.7500 0.6514 Se
0.9196 0.7500 0.6604 Se
0.2793 0.2500 0.9738 Se
0.5686 0.2500 0.3486 Se
0.7207 0.7500 0.0262 Se
0.4165 0.7500 0.9107 Ni
0.5835 0.2500 0.0893 Ni
0.3193 0.7500 0.3400 Li
0.6807 0.2500 0.6600 Li
0.1757 0.2500 0.6531 Lu
0.8243 0.7500 0.3469 Lu
```

Computed properties:
magnetic moment	1.07	μB per formula unit
ΔE to the lowest computed polymorph	0.00	kcal/mol of atoms
symmetry	P2_1/m, No. 11
VASP energy	-58.34	eV/cell
density	5.9	g/cm³

=====

No. 13
First-principles (PBE) data for a relaxed LiLuSiNi crystal, as listed in OQMD.

The structure in POSCAR format:
```
LiLuSiNi
1.0
4.2518 -0.3283 -1.1088
2.1614 -3.7838 0.6531
1.1941 -2.4777 -3.4424
Lu Ni Li Si
1 1 1 1
direct
0.2500 0.2500 0.2500 Lu
0.7500 0.7500 0.7500 Ni
0.5000 0.5000 0.5000 Li
0.0000 0.0000 0.0000 Si
```

Computed properties:
magnetic moment	0.00	μB per formula unit
ΔE to the lowest computed polymorph	4.51	kcal/mol of atoms
symmetry	F-43m, No. 216
VASP energy	-18.90	eV/cell
density	7.4	g/cm³

=====

No. 14
First-principles (PBE) data for a relaxed LiLuSiNi crystal, as listed in OQMD.

The structure in POSCAR format:
```
LiLuSiNi
1.0
2.1168 1.5411 3.6639
-1.7914 3.3755 2.3827
-1.7120 -0.7912 4.0894
Ni Si Li Lu
1 1 1 1
direct
0.5000 0.5000 0.5000 Ni
0.0000 0.0000 0.0000 Si
0.7500 0.7500 0.7500 Li
0.2500 0.2500 0.2500 Lu
```

Computed properties:
magnetic moment	0.03	μB per formula unit
ΔE to the lowest computed polymorph	6.38	kcal/mol of atoms
symmetry	F-43m, No. 216
VASP energy	-18.57	eV/cell
density	6.9	g/cm³